Below is a PBEsol-optimized structure of Li4CuP2O8, with properties calculated at the SCAN level.

abc: 8.0276 8.1718 10.1532
angles: 90.00 90.00 107.32
Last column: magnetic moment on the atom in μB.
Fractional positions:
O 0.4982 0.2633 0.4453  0.05
O 0.2182 0.9414 0.5842  0.05
O 0.4339 0.8463 0.3284  0.07
O 0.5819 0.1674 0.1743  0.04
O 0.8019 0.5417 0.1058  0.01
O 0.0018 0.7367 0.9453  0.05
O 0.9794 0.7255 0.4510  0.01
O 0.1028 0.6279 0.6546  0.00
O 0.6028 0.6279 0.8454  0.00
O 0.1981 0.4583 0.8942  0.01
O 0.9339 0.8463 0.1716  0.07
O 0.5661 0.1537 0.6716  0.07
O 0.2818 0.0586 0.0842  0.05
O 0.7182 0.9414 0.9158  0.05
O 0.8972 0.3721 0.3454  0.00
O 0.3972 0.3721 0.1546  0.00
O 0.0661 0.1537 0.8284  0.07
O 0.5018 0.7367 0.5547  0.05
O 0.0206 0.2745 0.5490  0.01
O 0.7818 0.0586 0.4158  0.05
O 0.5206 0.2745 0.9510  0.01
O 0.1293 0.6554 0.1529  0.01
O 0.4794 0.7255 0.0490  0.01
O 0.6293 0.6554 0.3471  0.01
O 0.3019 0.5417 0.3942  0.01
O 0.3707 0.3446 0.6529  0.01
O 0.0819 0.1674 0.3257  0.04
O 0.9181 0.8326 0.6743  0.04
O 0.4181 0.8326 0.8257  0.04
O 0.8707 0.3446 0.8471  0.01
O 0.6981 0.4583 0.6058  0.01
O 0.9982 0.2633 0.0547  0.05
Li 0.0929 0.5919 0.3381  0.00
Li 0.6812 0.6778 0.6650  0.00
Li 0.8188 0.3222 0.1650  0.00
Li 0.5929 0.5919 0.1619  0.00
Li 0.1482 0.1439 0.6464  0.00
Li 0.8518 0.8561 0.3536  0.00
Li 0.7671 0.5173 0.4214  0.00
Li 0.4071 0.4081 0.8381  0.00
Li 0.2329 0.4827 0.5786  0.00
Li 0.7329 0.4827 0.9214  0.00
Li 0.3188 0.3222 0.3350  0.00
Li 0.2671 0.5173 0.0786  0.00
Li 0.6482 0.1439 0.8536  0.00
Li 0.3518 0.8561 0.1464  0.00
Li 0.1812 0.6778 0.8350  0.00
Li 0.9071 0.4081 0.6619  0.00
P 0.4450 0.2205 0.0895  0.00
P 0.9688 0.6947 0.0951  0.00
P 0.0312 0.3053 0.9049  0.00
P 0.9450 0.2205 0.4105  0.00
P 0.5312 0.3053 0.5951  0.00
P 0.5550 0.7795 0.9105  0.00
P 0.0550 0.7795 0.5895  0.00
P 0.4688 0.6947 0.4049  0.00
Cu 0.4468 0.9222 0.6358  0.72
Cu 0.0532 0.0778 0.1358  0.72
Cu 0.5532 0.0778 0.3642  0.72
Cu 0.9468 0.9222 0.8642  0.72

Output
Density: 2.9 Mg/m³
Space group: No. 14
Formation energy without anion corrections: -2.3587 eV/atom
Magnetic moment: 1.00 μB/f.u.
E: -523.1 eV/cell
Energy relative to the lowest polymorph listed for this composition: 0 meV/atom